1.
# CdBiS3, optimized geometry, DFT PBE
# * ΔE_f (raw): -1.05 eV/f.u.
# * excess energy over the best structure of this formula in the dataset: 0.0000 eV/atom
data_CdBiS3
_chemical_formula_sum 'Cd2 Bi2 S6'
_cell_length_a 4.051
_cell_length_b 6.862
_cell_length_c 11.127
_cell_angle_alpha 117.34
_cell_angle_beta 90.00
_cell_angle_gamma 90.00
_symmetry_space_group_name_H-M 'P 1'
_symmetry_Int_Tables_number 1
_symmetry_space_group_name_Hall 'P 1'
loop_
_atom_site_label
_atom_site_fract_x
_atom_site_fract_y
_atom_site_fract_z
S1 0.750 0.804 0.055
S2 0.750 0.996 0.629
S3 0.250 0.004 0.371
S4 0.750 0.412 0.314
S5 0.250 0.588 0.686
S6 0.250 0.196 0.945
Cd1 0.250 0.247 0.712
Cd2 0.750 0.753 0.288
Bi1 0.750 0.874 0.823
Bi2 0.250 0.126 0.177

2.
# MoAs2Cl, optimized geometry, DFT PBE
# * ΔE_f (raw): -0.26 eV/f.u.
# * excess energy over the best structure of this formula in the dataset: 0.0760 eV/atom
data_MoAs2Cl
_chemical_formula_sum 'Mo1 As2 Cl1'
_cell_length_a 8.122
_cell_length_b 8.122
_cell_length_c 8.122
_cell_angle_alpha 23.49
_cell_angle_beta 23.49
_cell_angle_gamma 23.49
_symmetry_space_group_name_H-M 'P 1'
_symmetry_Int_Tables_number 1
_symmetry_space_group_name_Hall 'P 1'
loop_
_atom_site_label
_atom_site_fract_x
_atom_site_fract_y
_atom_site_fract_z
Mo1 0.750 0.750 0.750
As1 0.489 0.489 0.489
As2 0.011 0.011 0.011
Cl1 0.250 0.250 0.250

3.
# Tb3Al2Zn9, optimized geometry, DFT PBE
# * DFT total energy: -37.80 eV per cell
data_Tb3Al2Zn9
_chemical_formula_sum 'Tb3 Al2 Zn9'
_cell_length_a 4.345
_cell_length_b 8.161
_cell_length_c 8.161
_cell_angle_alpha 68.92
_cell_angle_beta 74.56
_cell_angle_gamma 74.56
_symmetry_space_group_name_H-M 'P 1'
_symmetry_Int_Tables_number 1
_symmetry_space_group_name_Hall 'P 1'
loop_
_atom_site_label
_atom_site_fract_x
_atom_site_fract_y
_atom_site_fract_z
Zn1 0.860 0.861 0.419
Zn2 0.860 0.419 0.861
Zn3 0.000 0.500 0.500
Zn4 0.140 0.581 0.139
Zn5 0.341 0.295 0.023
Zn6 0.341 0.023 0.295
Zn7 0.140 0.139 0.581
Zn8 0.659 0.977 0.705
Zn9 0.659 0.705 0.977
Al1 0.500 0.692 0.308
Al2 0.500 0.308 0.692
Tb1 0.705 0.295 0.295
Tb2 0.000 0.000 0.000
Tb3 0.295 0.705 0.705

4.
# Ce2IBr, optimized geometry, DFT PBE
# * ΔE_f (raw): -3.56 eV/f.u.
# * excess energy over the best structure of this formula in the dataset: 0.0098 eV/atom
data_Ce2IBr
_chemical_formula_sum 'Ce2 I1 Br1'
_cell_length_a 3.788
_cell_length_b 3.788
_cell_length_c 9.675
_cell_angle_alpha 78.71
_cell_angle_beta 78.71
_cell_angle_gamma 60.00
_symmetry_space_group_name_H-M 'P 1'
_symmetry_Int_Tables_number 1
_symmetry_space_group_name_Hall 'P 1'
loop_
_atom_site_label
_atom_site_fract_x
_atom_site_fract_y
_atom_site_fract_z
Br1 0.499 0.499 0.502
Ce1 0.087 0.087 0.738
Ce2 0.246 0.246 0.262
I1 0.668 0.668 0.997

5.
# ScBe2Re, optimized geometry, DFT PBE
# * excess energy over the best structure of this formula in the dataset: 0.0325 eV/atom
data_ScBe2Re
_chemical_formula_sum 'Sc1 Be2 Re1'
_cell_length_a 3.373
_cell_length_b 3.290
_cell_length_c 4.946
_cell_angle_alpha 70.63
_cell_angle_beta 90.00
_cell_angle_gamma 90.00
_symmetry_space_group_name_H-M 'P 1'
_symmetry_Int_Tables_number 1
_symmetry_space_group_name_Hall 'P 1'
loop_
_atom_site_label
_atom_site_fract_x
_atom_site_fract_y
_atom_site_fract_z
Re1 0.000 0.489 0.398
Sc1 0.500 0.786 0.802
Be1 0.000 0.175 0.025
Be2 0.500 0.050 0.275

6.
# LaCeSc2, optimized geometry, DFT PBE
# * excess energy over the best structure of this formula in the dataset: 0.0140 eV/atom
data_LaCeSc2
_chemical_formula_sum 'La1 Ce1 Sc2'
_cell_length_a 3.418
_cell_length_b 3.418
_cell_length_c 11.239
_cell_angle_alpha 81.25
_cell_angle_beta 81.25
_cell_angle_gamma 60.00
_symmetry_space_group_name_H-M 'P 1'
_symmetry_Int_Tables_number 1
_symmetry_space_group_name_Hall 'P 1'
loop_
_atom_site_label
_atom_site_fract_x
_atom_site_fract_y
_atom_site_fract_z
Sc1 0.254 0.254 0.237
Sc2 0.079 0.079 0.764
La1 0.500 0.500 0.499
Ce1 0.666 0.666 0.001

7.
# La8Pt3AuBr4, optimized geometry, DFT PBE
# * ΔE_f (raw): -20.28 eV/f.u.
data_La8Pt3AuBr4
_chemical_formula_sum 'La8 Pt3 Au1 Br4'
_cell_length_a 8.630
_cell_length_b 9.277
_cell_length_c 8.632
_cell_angle_alpha 117.74
_cell_angle_beta 119.99
_cell_angle_gamma 90.00
_symmetry_space_group_name_H-M 'P 1'
_symmetry_Int_Tables_number 1
_symmetry_space_group_name_Hall 'P 1'
loop_
_atom_site_label
_atom_site_fract_x
_atom_site_fract_y
_atom_site_fract_z
Pt1 0.500 0.500 0.500
Pt2 0.000 0.500 0.500
Pt3 0.500 0.500 0.000
La1 0.239 0.703 0.964
La2 0.266 0.297 0.531
La3 0.275 0.297 0.036
La4 0.761 0.297 0.522
La5 0.725 0.703 0.964
La6 0.239 0.703 0.478
La7 0.734 0.703 0.469
La8 0.761 0.297 0.036
Br1 0.500 0.000 0.000
Br2 0.000 0.000 0.500
Br3 0.500 0.000 0.500
Br4 0.000 0.000 0.000
Au1 0.000 0.500 0.000

8.
# PmSm3Sb2, optimized geometry, DFT PBE
# * ΔE_f (raw): -3.67 eV/f.u.
# * excess energy over the best structure of this formula in the dataset: 0.2065 eV/atom
data_PmSm3Sb2
_chemical_formula_sum 'Pm2 Sm6 Sb4'
_cell_length_a 7.183
_cell_length_b 7.737
_cell_length_c 9.042
_cell_angle_alpha 115.33
_cell_angle_beta 113.41
_cell_angle_gamma 90.00
_symmetry_space_group_name_H-M 'P 1'
_symmetry_Int_Tables_number 1
_symmetry_space_group_name_Hall 'P 1'
loop_
_atom_site_label
_atom_site_fract_x
_atom_site_fract_y
_atom_site_fract_z
Pm1 0.000 0.000 0.000
Pm2 0.000 0.500 0.000
Sb1 0.475 0.647 0.295
Sb2 0.180 0.853 0.705
Sb3 0.820 0.147 0.295
Sb4 0.525 0.353 0.705
Sm1 0.793 0.043 0.587
Sm2 0.207 0.957 0.413
Sm3 0.500 0.250 0.000
Sm4 0.207 0.457 0.413
Sm5 0.500 0.750 0.000
Sm6 0.793 0.543 0.587

9.
# Sr3TlC4O12, optimized geometry, DFT PBE
# * ΔE_f (raw): -38.92 eV/f.u.
data_Sr3TlC4O12
_chemical_formula_sum 'Sr3 Tl1 C4 O12'
_cell_length_a 6.911
_cell_length_b 6.911
_cell_length_c 6.911
_cell_angle_alpha 101.30
_cell_angle_beta 101.30
_cell_angle_gamma 101.30
_symmetry_space_group_name_H-M 'P 1'
_symmetry_Int_Tables_number 1
_symmetry_space_group_name_Hall 'P 1'
loop_
_atom_site_label
_atom_site_fract_x
_atom_site_fract_y
_atom_site_fract_z
C1 0.977 0.023 0.500
C2 0.500 0.977 0.023
C3 0.023 0.500 0.977
C4 0.500 0.500 0.500
Sr1 0.523 0.477 0.000
Sr2 0.000 0.523 0.477
Sr3 0.477 0.000 0.523
O1 0.902 0.500 0.098
O2 0.378 0.622 0.500
O3 0.976 0.147 0.381
O4 0.500 0.378 0.622
O5 0.098 0.902 0.500
O6 0.500 0.098 0.902
O7 0.024 0.619 0.853
O8 0.622 0.500 0.378
O9 0.147 0.381 0.976
O10 0.619 0.853 0.024
O11 0.853 0.024 0.619
O12 0.381 0.976 0.147
Tl1 0.000 0.000 0.000

10.
# BPb, optimized geometry, DFT PBE
# * excess energy over the best structure of this formula in the dataset: 0.4663 eV/atom
data_BPb
_chemical_formula_sum 'B6 Pb6'
_cell_length_a 11.199
_cell_length_b 3.973
_cell_length_c 5.599
_cell_angle_alpha 90.00
_cell_angle_beta 90.00
_cell_angle_gamma 90.00
_symmetry_space_group_name_H-M 'P 1'
_symmetry_Int_Tables_number 1
_symmetry_space_group_name_Hall 'P 1'
loop_
_atom_site_label
_atom_site_fract_x
_atom_site_fract_y
_atom_site_fract_z
B1 0.804 0.362 0.778
B2 0.696 0.638 0.278
B3 0.304 0.638 0.278
B4 0.000 0.009 0.395
B5 0.196 0.362 0.778
B6 0.500 0.991 0.895
Pb1 0.182 0.145 0.201
Pb2 0.318 0.855 0.701
Pb3 0.500 0.477 0.149
Pb4 0.000 0.523 0.649
Pb5 0.682 0.855 0.701
Pb6 0.818 0.145 0.201

11.
# Nd3Sm6Tm, optimized geometry, DFT PBE
# * excess energy over the best structure of this formula in the dataset: 0.0820 eV/atom
data_Nd3Sm6Tm
_chemical_formula_sum 'Nd3 Sm6 Tm1'
_cell_length_a 6.801
_cell_length_b 9.222
_cell_length_c 6.714
_cell_angle_alpha 105.59
_cell_angle_beta 120.43
_cell_angle_gamma 90.00
_symmetry_space_group_name_H-M 'P 1'
_symmetry_Int_Tables_number 1
_symmetry_space_group_name_Hall 'P 1'
loop_
_atom_site_label
_atom_site_fract_x
_atom_site_fract_y
_atom_site_fract_z
Nd1 0.073 0.670 0.146
Nd2 0.927 0.330 0.854
Nd3 0.000 0.000 0.000
Tm1 0.500 0.500 0.000
Sm1 0.376 0.082 0.752
Sm2 0.624 0.918 0.248
Sm3 0.947 0.303 0.377
Sm4 0.570 0.697 0.623
Sm5 0.053 0.697 0.623
Sm6 0.430 0.303 0.377

12.
# BeAl2Mo, optimized geometry, DFT PBE
# * DFT total energy: -21.18 eV per cell
data_BeAl2Mo
_chemical_formula_sum 'Be1 Al2 Mo1'
_cell_length_a 4.269
_cell_length_b 4.269
_cell_length_c 4.269
_cell_angle_alpha 60.00
_cell_angle_beta 60.00
_cell_angle_gamma 60.00
_symmetry_space_group_name_H-M 'P 1'
_symmetry_Int_Tables_number 1
_symmetry_space_group_name_Hall 'P 1'
loop_
_atom_site_label
_atom_site_fract_x
_atom_site_fract_y
_atom_site_fract_z
Be1 0.500 0.500 0.500
Mo1 0.750 0.750 0.750
Al1 0.250 0.250 0.250
Al2 0.000 0.000 0.000

| no. | magnetic moment (μB/f.u.) |
| --- | --- |
| 1 | 0.00 |
| 2 | 0.00 |
| 3 | 0.00 |
| 4 | 2.51 |
| 5 | 0.00 |
| 6 | 0.01 |
| 7 | 0.00 |
| 8 | 0.00 |
| 9 | 0.00 |
| 10 | 0.00 |
| 11 | 0.00 |
| 12 | 0.00 |